ScB4Os3 after structural relaxation, computed with PBEsol.

The calculated total energy comes out at -9.411 eV per atom. As for the crystal system: orthorhombic. For the energy relative to the elements, the calculation gives -0.50 eV/atom. The calculation puts the density of states at the Fermi level at 1.9 states/eV/f.u. As for the space group: Cmcm, No. 63.

Unit cell a=6.060 b=6.060 c=9.807 alpha=90.00 beta=90.00 gamma=151.97
Fractional positions:
Sc  0.000  0.000  0.000
Sc  0.000  0.000  0.500
B  0.129  0.871  0.750
B  0.150  0.850  0.250
B  0.344  0.656  0.609
B  0.344  0.656  0.891
B  0.656  0.344  0.109
B  0.656  0.344  0.391
B  0.850  0.150  0.750
B  0.871  0.129  0.250
Os  0.299  0.701  0.108
Os  0.299  0.701  0.392
Os  0.489  0.511  0.750
Os  0.511  0.489  0.250
Os  0.701  0.299  0.608
Os  0.701  0.299  0.892